No. 1
Computed, not measured: a relaxed structure of Ce2MgSi3Rh4 at the PBE-GGA level of DFT.

Cell: 4.1102 4.1102 10.3973 Å, 90.00 90.00 90.00°
With the nearest neighbours (Å) after each atom.
Fractional positions:
Ce (0.0000, 0.5000, 0.7512)  8 Rh 3.10-3.30, 6 Si 3.19-3.32, 2 Mg 3.32
Si (0.5000, 0.0000, 0.8768)  5 Rh 2.39-2.42
Mg (0.5000, 0.5000, 0.5000)  4 Rh 2.56
Rh (0.5000, 0.5000, 0.0000)  4 Si 2.42
Ce (0.5000, 0.0000, 0.2488)  8 Rh 3.10-3.30, 6 Si 3.19-3.32, 2 Mg 3.32
Rh (0.0000, 0.5000, 0.3530)  3 Si 2.39-2.56, 2 Mg 2.56
Si (0.0000, 0.5000, 0.1232)  5 Rh 2.39-2.42
Rh (0.0000, 0.0000, 0.0000)  4 Si 2.42
Si (0.0000, 0.0000, 0.5000)  4 Rh 2.56
Rh (0.5000, 0.0000, 0.6470)  3 Si 2.39-2.56, 2 Mg 2.56

Calculated values
Volume (Å³ per atom): 17.6
Symmetry: P-4m2, No. 115
Formation energy (no corrections) (eV/atom): -0.93
M_tot (μB per atom): 0.10

=====

No. 2
Computed, not measured: a relaxed structure of CeMg2Si2Rh at the PBE-GGA level of DFT.

Cell: 5.0487 5.0487 6.4453 Å, 113.06 113.06 90.00°
With the nearest neighbours (Å) after each atom.
Fractional positions:
Si (0.7898, 0.7898, 0.5796)  1 Rh 2.26
Mg (0.2500, 0.7500, 0.5000)  4 Si 2.56
Rh (0.0000, 0.0000, 0.0000)  2 Si 2.26
Mg (0.7500, 0.2500, 0.5000)  4 Si 2.56
Si (0.2102, 0.2102, 0.4204)  1 Rh 2.26
Ce (0.5000, 0.5000, 0.0000)  2 Si 3.11

Calculated values
Volume (Å³ per atom): 22.8
Symmetry: I4/mmm, No. 139
Formation energy (no corrections) (eV/atom): 0.03
M_tot (μB per atom): 0.14

=====

No. 3
Computed, not measured: a relaxed structure of Ce2MgSi4Rh3 at the PBE-GGA level of DFT.

Cell: 4.1587 4.1587 10.2633 Å, 90.00 90.00 90.00°
With the nearest neighbours (Å) after each atom.
Fractional positions:
Rh (0.0000, 0.5000, 0.1192)  5 Si 2.39-2.41
Si (0.5000, 0.5000, 0.0000)  4 Rh 2.41
Rh (0.5000, 0.0000, 0.8808)  5 Si 2.39-2.41
Rh (0.0000, 0.0000, 0.5000)  4 Si 2.57
Ce (0.5000, 0.0000, 0.2389)  8 Si 3.16-3.22, 6 Rh 3.19-3.39, 2 Mg 3.39
Ce (0.0000, 0.5000, 0.7611)  8 Si 3.16-3.22, 6 Rh 3.19-3.39, 2 Mg 3.39
Si (0.0000, 0.5000, 0.3521)  3 Rh 2.39-2.57, 2 Mg 2.57
Si (0.5000, 0.0000, 0.6479)  3 Rh 2.39-2.57, 2 Mg 2.57
Mg (0.5000, 0.5000, 0.5000)  4 Si 2.57
Si (0.0000, 0.0000, 0.0000)  4 Rh 2.41

Calculated values
Volume (Å³ per atom): 17.8
Symmetry: P-4m2, No. 115
Formation energy (no corrections) (eV/atom): -0.86
M_tot (μB per atom): 0.00

=====

No. 4
Computed, not measured: a relaxed structure of CeMgSi2Rh2 at the PBE-GGA level of DFT.

Cell: 4.2170 4.2170 6.7906 Å, 90.00 90.00 120.00°
With the nearest neighbours (Å) after each atom.
Fractional positions:
Si (0.3333, 0.6667, 0.2750)  4 Rh 2.50
Si (0.6667, 0.3333, 0.7250)  4 Rh 2.50
Ce (0.0000, 0.0000, 0.0000)  6 Si 3.07, 2 Mg 3.40, 6 Rh 3.43
Rh (0.3333, 0.6667, 0.6436)  4 Si 2.50, 3 Mg 2.62
Rh (0.6667, 0.3333, 0.3564)  4 Si 2.50, 3 Mg 2.62
Mg (0.0000, 0.0000, 0.5000)  6 Rh 2.62, 6 Si 2.87

Calculated values
Volume (Å³ per atom): 17.4
Symmetry: P-3m1, No. 164
Formation energy (no corrections) (eV/atom): -0.84
M_tot (μB per atom): 0.06

=====

Copy entry 1 word for word.
Computed, not measured: a relaxed structure of Ce2MgSi3Rh4 at the PBE-GGA level of DFT.

Cell: 4.1102 4.1102 10.3973 Å, 90.00 90.00 90.00°
With the nearest neighbours (Å) after each atom.
Fractional positions:
Ce (0.0000, 0.5000, 0.7512)  8 Rh 3.10-3.30, 6 Si 3.19-3.32, 2 Mg 3.32
Si (0.5000, 0.0000, 0.8768)  5 Rh 2.39-2.42
Mg (0.5000, 0.5000, 0.5000)  4 Rh 2.56
Rh (0.5000, 0.5000, 0.0000)  4 Si 2.42
Ce (0.5000, 0.0000, 0.2488)  8 Rh 3.10-3.30, 6 Si 3.19-3.32, 2 Mg 3.32
Rh (0.0000, 0.5000, 0.3530)  3 Si 2.39-2.56, 2 Mg 2.56
Si (0.0000, 0.5000, 0.1232)  5 Rh 2.39-2.42
Rh (0.0000, 0.0000, 0.0000)  4 Si 2.42
Si (0.0000, 0.0000, 0.5000)  4 Rh 2.56
Rh (0.5000, 0.0000, 0.6470)  3 Si 2.39-2.56, 2 Mg 2.56

Calculated values
Volume (Å³ per atom): 17.6
Symmetry: P-4m2, No. 115
Formation energy (no corrections) (eV/atom): -0.93
M_tot (μB per atom): 0.10